# 1
{
  "formula": "CoAg2W",
  "functional": "PBE",
  "state": "optimized geometry",
  "polymorph_energy_mev_per_atom": 917.7,
  "magmom_total_mub_per_cell": 3.43,
  "formation_energy_ev_per_fu": 5.0,
  "n_ef_per_ev_atom": 1.69,
  "lattice_angstrom": [[7.262, 0.000, 0.000], [0.000, 7.262, 0.000], [3.631, 3.631, 2.553]],
  "species": ["Co", "Co", "Ag", "Ag", "Ag", "Ag", "W", "W"],
  "frac_coords": [[0.500, 0.500, 0.000], [0.250, 0.750, 0.500], [0.599, 0.125, 0.250], [0.151, 0.625, 0.250], [0.375, 0.401, 0.750], [0.875, 0.849, 0.750], [0.000, 0.000, 0.000], [0.750, 0.250, 0.500]]
}



# 2
{
  "formula": "NaLa2MoS",
  "functional": "PBE",
  "state": "optimized geometry",
  "magmom_total_mub_per_cell": 3.01,
  "n_ef_per_ev_atom": 1.27,
  "formation_energy_uncorrected_ev_per_atom": 0.05,
  "lattice_angstrom": [[-1.699, -4.510, 2.801], [2.063, -2.870, -3.371], [4.758, 0.011, 2.903]],
  "species": ["Na", "Mo", "S", "La", "La"],
  "frac_coords": [[0.000, 0.500, 0.000], [0.500, 0.500, 0.500], [0.000, 0.000, 0.000], [0.000, 0.000, 0.500], [0.500, 0.000, 0.000]]
}



# 3
{
  "formula": "ZrSc5Hg4",
  "functional": "PBE",
  "state": "optimized geometry",
  "magmom_total_mub_per_cell": 0.18,
  "formation_energy_ev_per_fu": -3.5,
  "n_ef_per_ev_atom": 0.74,
  "lattice_angstrom": [[-2.076, 1.342, 2.351], [1.858, -1.448, 2.467], [11.002, 15.544, 0.840]],
  "species": ["Zr", "Sc", "Sc", "Sc", "Sc", "Sc", "Hg", "Hg", "Hg", "Hg"],
  "frac_coords": [[0.000, 0.000, 0.000], [0.500, 0.500, 0.108], [0.500, 0.500, 0.307], [0.500, 0.500, 0.500], [0.500, 0.500, 0.693], [0.500, 0.500, 0.892], [0.000, 0.000, 0.206], [0.000, 0.000, 0.404], [0.000, 0.000, 0.596], [0.000, 0.000, 0.794]]
}



# 4
{
  "formula": "Cs2Ba4O5",
  "functional": "PBE",
  "state": "optimized geometry",
  "magmom_total_mub_per_cell": 0.00,
  "formation_energy_uncorrected_ev_per_atom": -1.87,
  "lattice_angstrom": [[7.039, 0.000, 0.000], [3.519, 6.022, 0.000], [3.519, 0.000, 7.082]],
  "species": ["Cs", "Cs", "Ba", "Ba", "Ba", "Ba", "O", "O", "O", "O", "O"],
  "frac_coords": [[0.874, 0.000, 0.252], [0.126, 0.000, 0.748], [0.446, 0.350, 0.758], [0.554, 0.650, 0.242], [0.204, 0.350, 0.242], [0.796, 0.650, 0.758], [0.500, 0.000, 0.000], [0.000, 0.500, 0.000], [0.500, 0.500, 0.000], [0.250, 0.500, 0.500], [0.750, 0.500, 0.500]]
}



# 5
{
  "formula": "EuPaBiSb",
  "functional": "PBE",
  "state": "optimized geometry",
  "magmom_total_mub_per_cell": 7.92,
  "n_ef_per_ev_atom": 1.31,
  "formation_energy_uncorrected_ev_per_atom": -0.45,
  "lattice_angstrom": [[-4.651, -2.759, -0.784], [-0.177, -5.380, 0.940], [-2.785, -1.935, 4.285]],
  "species": ["Eu", "Sb", "Pa", "Bi"],
  "frac_coords": [[0.500, 0.500, 0.500], [0.250, 0.250, 0.250], [0.000, 0.000, 0.000], [0.750, 0.750, 0.750]]
}



# 6
{
  "formula": "LiReIN2",
  "functional": "PBE",
  "state": "optimized geometry",
  "polymorph_energy_mev_per_atom": 2223.2,
  "magmom_total_mub_per_cell": 0.00,
  "n_ef_per_ev_atom": 0.91,
  "formation_energy_uncorrected_ev_per_atom": 2.36,
  "lattice_angstrom": [[3.852, 0.000, 0.000], [0.000, 3.852, 0.000], [0.000, 0.000, 4.646]],
  "species": ["I", "Re", "Li", "N", "N"],
  "frac_coords": [[0.000, 0.000, 0.500], [0.500, 0.500, 0.500], [0.000, 0.000, 0.000], [0.000, 0.500, 0.000], [0.500, 0.000, 0.000]]
}